Entry 1:
! NdHo4Er, relaxed, DFT PBE-GGA; values from VASP
! Energy relative to the lowest polymorph listed for this composition in eV/atom: 0.0000
! Crystal system: triclinic
! Volume in A^3/atom: 31.5
! Calculated total energy in Ha/atom: -0.169
! Space group: No. 2
! Energy relative to the elements in eV/atom: 0.019
! Total moment in μB per formula unit: 0.00
&SYSTEM
  ibrav = 0, nat = 6, ntyp = 3
/
ATOMIC_SPECIES
Nd 144.24 Nd.upf
Ho 164.93 Ho.upf
Er 167.26 Er.upf
CELL_PARAMETERS angstrom
3.5505 0.0000 0.0000
1.7686 5.8718 0.0000
1.7638 1.5996 9.0655
ATOMIC_POSITIONS crystal
Nd 0.0000 0.0000 0.0000
Ho 0.3322 0.9994 0.3361
Ho 0.3329 0.5017 0.8310
Ho 0.6671 0.4983 0.1690
Ho 0.6678 0.0006 0.6639
Er 0.0000 0.5000 0.5000



Entry 2:
! Nd2HoErP4, relaxed, DFT PBE-GGA; values from VASP
! Crystal system: monoclinic
! Volume in A^3/atom: 23.9
! Calculated total energy in Ha/atom: -0.243
! Space group: No. 10
! Energy relative to the elements in eV/atom: -1.566
! Total moment in μB per formula unit: 0.00
&SYSTEM
  ibrav = 0, nat = 8, ntyp = 4
/
ATOMIC_SPECIES
Nd 144.24 Nd.upf
Ho 164.93 Ho.upf
Er 167.26 Er.upf
P 30.97 P.upf
CELL_PARAMETERS angstrom
7.0508 0.0000 0.0000
0.0000 4.0761 0.0000
-2.3527 0.0000 6.6527
ATOMIC_POSITIONS crystal
Nd 0.0000 0.0000 0.0000
Nd 0.0000 0.5000 0.5000
Ho 0.5000 0.0000 0.5000
Er 0.5000 0.5000 0.0000
P 0.2613 0.5000 0.2532
P 0.2616 0.0000 0.7544
P 0.7384 0.0000 0.2456
P 0.7387 0.5000 0.7468



Entry 3:
! NdHo2ErP4, relaxed, DFT PBE-GGA; values from VASP
! Crystal system: monoclinic
! Volume in A^3/atom: 23.1
! Calculated total energy in Ha/atom: -0.242
! Space group: No. 10
! Energy relative to the elements in eV/atom: -1.583
! Total moment in μB per formula unit: 0.00
&SYSTEM
  ibrav = 0, nat = 8, ntyp = 4
/
ATOMIC_SPECIES
Nd 144.24 Nd.upf
Ho 164.93 Ho.upf
Er 167.26 Er.upf
P 30.97 P.upf
CELL_PARAMETERS angstrom
6.9769 0.0000 0.0000
0.0000 4.0311 0.0000
-2.3254 0.0000 6.5790
ATOMIC_POSITIONS crystal
Nd 0.0000 0.0000 0.0000
Ho 0.0000 0.5000 0.5000
Ho 0.5000 0.0000 0.5000
Er 0.5000 0.5000 0.0000
P 0.2544 0.0000 0.7471
P 0.2578 0.5000 0.2569
P 0.7422 0.5000 0.7431
P 0.7456 0.0000 0.2529



Entry 4:
! Nd3Ho2Er6Pb, relaxed, DFT PBE-GGA; values from VASP
! Crystal system: monoclinic
! Volume in A^3/atom: 31.0
! Calculated total energy in Ha/atom: -0.169
! Space group: No. 12
! Energy relative to the elements in eV/atom: -0.046
! Total moment in μB per formula unit: 0.00
&SYSTEM
  ibrav = 0, nat = 12, ntyp = 4
/
ATOMIC_SPECIES
Nd 144.24 Nd.upf
Ho 164.93 Ho.upf
Er 167.26 Er.upf
Pb 207.20 Pb.upf
CELL_PARAMETERS angstrom
3.0652 -5.3063 0.0000
3.0652 5.3063 0.0000
-2.0474 0.0000 11.4463
ATOMIC_POSITIONS crystal
Nd 0.0000 0.0000 0.0000
Nd 0.3327 0.6673 0.0000
Nd 0.6673 0.3327 0.0000
Ho 0.1659 0.8341 0.5000
Ho 0.8341 0.1659 0.5000
Er 0.0907 0.4190 0.2561
Er 0.2530 0.2530 0.7449
Er 0.4190 0.0907 0.2561
Er 0.5810 0.9093 0.7439
Er 0.7470 0.7470 0.2551
Er 0.9093 0.5810 0.7439
Pb 0.5000 0.5000 0.5000



Entry 5:
! Nd2Ho6Er3Pb, relaxed, DFT PBE-GGA; values from VASP
! Crystal system: monoclinic
! Volume in A^3/atom: 30.8
! Calculated total energy in Ha/atom: -0.169
! Space group: No. 12
! Energy relative to the elements in eV/atom: -0.064
! Total moment in μB per formula unit: 0.00
&SYSTEM
  ibrav = 0, nat = 12, ntyp = 4
/
ATOMIC_SPECIES
Nd 144.24 Nd.upf
Ho 164.93 Ho.upf
Er 167.26 Er.upf
Pb 207.20 Pb.upf
CELL_PARAMETERS angstrom
3.0388 -5.2653 0.0000
3.0388 5.2653 0.0000
-2.0311 0.0000 11.5446
ATOMIC_POSITIONS crystal
Nd 0.1662 0.8338 0.0000
Nd 0.8338 0.1662 0.0000
Ho 0.0892 0.4166 0.7479
Ho 0.2565 0.2565 0.2530
Ho 0.4166 0.0892 0.7479
Ho 0.5834 0.9108 0.2521
Ho 0.7435 0.7435 0.7470
Ho 0.9108 0.5834 0.2521
Er 0.0000 0.0000 0.5000
Er 0.3327 0.6673 0.5000
Er 0.6673 0.3327 0.5000
Pb 0.5000 0.5000 0.0000



Entry 6:
! Pm4NdHoEr2, relaxed, DFT PBE-GGA; values from VASP
! Crystal system: monoclinic
! Volume in A^3/atom: 33.0
! Calculated total energy in Ha/atom: -0.172
! Space group: No. 10
! Energy relative to the elements in eV/atom: 0.017
! Total moment in μB per formula unit: 0.00
&SYSTEM
  ibrav = 0, nat = 8, ntyp = 4
/
ATOMIC_SPECIES
Pm 145.00 Pm.upf
Nd 144.24 Nd.upf
Ho 164.93 Ho.upf
Er 167.26 Er.upf
CELL_PARAMETERS angstrom
6.2325 0.0000 0.0000
0.0000 3.6116 0.0000
-2.0952 0.0000 11.7166
ATOMIC_POSITIONS crystal
Pm 0.2488 0.0000 0.2467
Pm 0.2495 0.5000 0.7512
Pm 0.7505 0.5000 0.2488
Pm 0.7512 0.0000 0.7533
Nd 0.5000 0.5000 0.5000
Ho 0.5000 0.0000 0.0000
Er 0.0000 0.0000 0.5000
Er 0.0000 0.5000 0.0000



Entry 7:
! Pm3NdHo2Er6, relaxed, DFT PBE-GGA; values from VASP
! Crystal system: monoclinic
! Volume in A^3/atom: 31.8
! Calculated total energy in Ha/atom: -0.169
! Space group: No. 12
! Energy relative to the elements in eV/atom: 0.018
! Total moment in μB per formula unit: 0.00
&SYSTEM
  ibrav = 0, nat = 12, ntyp = 4
/
ATOMIC_SPECIES
Pm 145.00 Pm.upf
Nd 144.24 Nd.upf
Ho 164.93 Ho.upf
Er 167.26 Er.upf
CELL_PARAMETERS angstrom
3.0864 -5.3426 0.0000
3.0864 5.3426 0.0000
-2.0486 0.0000 11.5623
ATOMIC_POSITIONS crystal
Pm 0.0000 0.0000 0.0000
Pm 0.3332 0.6668 0.0000
Pm 0.6668 0.3332 0.0000
Nd 0.5000 0.5000 0.5000
Ho 0.1668 0.8332 0.5000
Ho 0.8332 0.1668 0.5000
Er 0.0828 0.4166 0.2516
Er 0.2493 0.2493 0.7484
Er 0.4166 0.0828 0.2516
Er 0.5834 0.9172 0.7484
Er 0.7507 0.7507 0.2516
Er 0.9172 0.5834 0.7484



Entry 8:
! PmNd3Ho2Er6, relaxed, DFT PBE-GGA; values from VASP
! Crystal system: monoclinic
! Volume in A^3/atom: 31.9
! Calculated total energy in Ha/atom: -0.170
! Space group: No. 12
! Energy relative to the elements in eV/atom: 0.019
! Total moment in μB per formula unit: 0.00
&SYSTEM
  ibrav = 0, nat = 12, ntyp = 4
/
ATOMIC_SPECIES
Pm 145.00 Pm.upf
Nd 144.24 Nd.upf
Ho 164.93 Ho.upf
Er 167.26 Er.upf
CELL_PARAMETERS angstrom
3.0918 -5.3527 0.0000
3.0918 5.3527 0.0000
-2.0534 0.0000 11.5699
ATOMIC_POSITIONS crystal
Pm 0.0000 0.0000 0.0000
Nd 0.1668 0.8332 0.5000
Nd 0.5000 0.5000 0.5000
Nd 0.8332 0.1668 0.5000
Ho 0.3332 0.6668 0.0000
Ho 0.6668 0.3332 0.0000
Er 0.0829 0.4166 0.2472
Er 0.2510 0.2510 0.7528
Er 0.4166 0.0829 0.2472
Er 0.5834 0.9171 0.7528
Er 0.7490 0.7490 0.2472
Er 0.9171 0.5834 0.7528